[1]
DFT (PBE-GGA) results for a geometry-optimized TmNi4Ge2 structure.

Summary:
total magnetization: 0.0 μB per cell
ΔH_f (0 K): -0.5302 eV per atom
uncorrected energy: -81.09 eV/cell
crystal system: tetragonal

Unit cell a=7.260 b=7.260 c=3.745 alpha=90.00 beta=90.00 gamma=90.00
Space group P4_2/mnm (No. 136)
Inequivalent atoms, fractional coordinates:
Tm1 0.000 0.000 0.000 [2 per cell]
Ni1 0.086 0.343 0.500 [8 per cell]
Ge1 0.220 0.780 0.500 [4 per cell]

=====

[2]
DFT (PBE-GGA) results for a geometry-optimized CdBi2Au2 structure.

Summary:
ΔE to the lowest computed polymorph: 22 meV per atom
total magnetization: 0.0 μB per cell
ΔH_f (0 K): -0.0247 eV per atom
uncorrected energy: -30.71 eV/cell
crystal system: tetragonal

Unit cell a=7.492 b=7.492 c=4.395 alpha=90.00 beta=90.00 gamma=90.00
Space group P4/mbm (No. 127)
Inequivalent atoms, fractional coordinates:
Cd1 0.000 0.000 0.000 [2 per cell]
Bi1 0.171 0.329 0.500 [4 per cell]
Au1 0.136 0.636 0.000 [4 per cell]

=====

[3]
DFT (PBE-GGA) results for a geometry-optimized HgMo2Ru2 structure.

Summary:
ΔE to the lowest computed polymorph: 0 meV per atom
total magnetization: 0.0 μB per cell
ΔH_f (0 K): 0.2232 eV per atom
uncorrected energy: -78.80 eV/cell
crystal system: tetragonal

Unit cell a=7.600 b=7.600 c=2.850 alpha=90.00 beta=90.00 gamma=90.00
Space group P4/mbm (No. 127)
Inequivalent atoms, fractional coordinates:
Hg1 0.000 0.000 0.000 [2 per cell]
Mo1 0.161 0.339 0.500 [4 per cell]
Ru1 0.129 0.629 0.000 [4 per cell]

=====

[4]
DFT (PBE-GGA) results for a geometry-optimized Zr2ScAl9 structure.

Summary:
total magnetization: 0.0 μB per cell
ΔH_f (0 K): -0.2834 eV per atom
uncorrected energy: -181.53 eV/cell
crystal system: trigonal

Unit cell a=5.3130 b=5.3130 c=26.4116 alpha=90.00 beta=90.00 gamma=120.00
Space group R-3m (No. 166, hexagonal axes)
Inequivalent atoms, fractional coordinates:
Zr1 0.0000 0.0000 0.1445 [6 per cell]
Sc1 0.0000 0.0000 0.0000 [3 per cell]
Al1 0.0000 0.0000 0.3337 [6 per cell]
Al2 0.0000 0.0000 0.5000 [3 per cell]
Al3 0.0056 0.5028 0.9137 [18 per cell]

=====

[5]
DFT (PBE-GGA) results for a geometry-optimized ScPb structure.

Summary:
total magnetization: 0.0 μB per cell
ΔH_f (0 K): -0.3292 eV per atom
uncorrected energy: -85.59 eV/cell
crystal system: orthorhombic

Unit cell a=6.020 b=6.201 c=10.777 alpha=90.00 beta=90.00 gamma=90.00
Space group P2_12_12_1 (No. 19)
Inequivalent atoms, fractional coordinates:
Sc1 0.078 0.101 0.284 [4 per cell]
Sc2 0.186 0.360 0.962 [4 per cell]
Pb1 0.081 0.554 0.712 [4 per cell]
Pb2 0.195 0.877 0.039 [4 per cell]

=====

[6]
DFT (PBE-GGA) results for a geometry-optimized MgCrRe2 structure.

Summary:
total magnetization: 0.0 μB per cell
ΔH_f (0 K): 0.4820 eV per atom
uncorrected energy: -34.19 eV/cell
crystal system: tetragonal

Unit cell a=4.395 b=4.395 c=2.957 alpha=90.00 beta=90.00 gamma=90.00
Space group P4/mmm (No. 123)
Inequivalent atoms, fractional coordinates:
Mg1 0.000 0.000 0.000 [1 per cell]
Cr1 0.500 0.500 0.000 [1 per cell]
Re1 0.000 0.500 0.500 [2 per cell]